The following is a GGA-PBE calculation of a geometry-optimized BaPmPaN3 structure, from Alexandria via LeMat-Bulk.

**Raw total energy**: -8.06 eV per atom
**Density**: 8.4 g/cm3
**DOS(E_F)**: 0.50 states/eV per atom

Cell: 6.2460 3.6762 9.7336 Å, 90.00 101.96 90.00°
Atoms (fractional coordinates):
1 Ba 0.1553 0.2500 0.1937
2 Ba 0.8447 0.7500 0.8063
3 Pm 0.3596 0.2500 0.8603
4 Pm 0.6404 0.7500 0.1397
5 Pa 0.2629 0.7500 0.5402
6 Pa 0.7371 0.2500 0.4598
7 N 0.0541 0.2500 0.6204
8 N 0.2824 0.7500 0.9908
9 N 0.4757 0.7500 0.3780
10 N 0.5243 0.2500 0.6220
11 N 0.7176 0.2500 0.0092
12 N 0.9459 0.7500 0.3796